# 1
VASP calculation (PBE-GGA) on an optimized crystal structure of Sc2TlTcRh.

Magnetic moment in μB/cell: 2.46

Unit cell a=4.854 b=4.854 c=5.103 alpha=90.00 beta=90.00 gamma=90.00
Fractional positions:
Sc1 0.000 0.500 0.000
Sc2 0.500 0.000 0.000
Tl1 0.000 0.000 0.500
Tc1 0.500 0.500 0.500
Rh1 0.000 0.000 0.000

***

# 2
VASP calculation (PBE-GGA) on an optimized crystal structure of KNiOs.

ΔE to the lowest computed polymorph in meV/atom: 742.0
Magnetic moment in μB/cell: 0.03

Unit cell a=4.858 b=4.858 c=2.603 alpha=90.00 beta=90.00 gamma=120.00
Fractional positions:
K1 0.000 0.000 0.000
Ni1 0.667 0.333 0.500
Os1 0.333 0.667 0.500

***

# 3
VASP calculation (PBE-GGA) on an optimized crystal structure of Sc5InAu.

Magnetic moment in μB/cell: 0.00

Unit cell a=5.837 b=5.837 c=9.786 alpha=91.42 beta=91.42 gamma=92.45
Fractional positions:
Sc1 0.032 0.615 0.162
Sc2 0.137 0.863 0.750
Sc3 0.234 0.442 0.495
Sc4 0.385 0.968 0.338
Sc5 0.442 0.234 0.995
Sc6 0.558 0.766 0.005
Sc7 0.615 0.032 0.662
Sc8 0.766 0.558 0.505
Sc9 0.863 0.137 0.250
Sc10 0.968 0.385 0.838
In1 0.491 0.509 0.750
In2 0.509 0.491 0.250
Au1 0.000 0.000 0.000
Au2 0.000 0.000 0.500

***

# 4
VASP calculation (PBE-GGA) on an optimized crystal structure of AlTl2Cu.

ΔE to the lowest computed polymorph in meV/atom: 64.3
Magnetic moment in μB/cell: 0.00

Unit cell a=9.045 b=9.045 c=9.045 alpha=22.09 beta=22.09 gamma=22.09
Fractional positions:
Al1 0.000 0.000 0.000
Tl1 0.241 0.241 0.241
Tl2 0.467 0.467 0.467
Cu1 0.722 0.722 0.722

***

Per-record energy of formation from the pure elements, meV/atom: 491, 1421, -211, 189